Entry from the Alexandria database: an optimized crystal structure of NpBrO5F (PBE).

Output
E_form (uncorrected) in meV/atom: -1335
Space-group type: C2/c

abc: 6.034 6.034 8.156
angles: 92.59 92.59 91.24
Atoms (fractional coordinates):
1 Np 0.000 0.000 0.500
2 Np 0.000 0.000 0.000
3 Br 0.635 0.365 0.250
4 Br 0.365 0.635 0.750
5 O 0.049 0.951 0.250
6 O 0.951 0.049 0.750
7 O 0.831 0.320 0.101
8 O 0.169 0.680 0.899
9 O 0.680 0.169 0.399
10 O 0.320 0.831 0.601
11 O 0.857 0.737 0.502
12 O 0.143 0.263 0.498
13 O 0.263 0.143 0.998
14 O 0.737 0.857 0.002
15 F 0.400 0.600 0.250
16 F 0.600 0.400 0.750

=====

Entry from the Alexandria database: an optimized crystal structure of Cr4AgTe (PBE).

Output
E_form (uncorrected) in meV/atom: 606
Space-group type: F-43m

abc: 4.966 4.966 4.966
angles: 60.00 60.00 60.00
Atoms (fractional coordinates):
1 Cr 0.888 0.371 0.371
2 Cr 0.371 0.371 0.888
3 Cr 0.371 0.888 0.371
4 Cr 0.371 0.371 0.371
5 Ag 0.000 0.000 0.000
6 Te 0.750 0.750 0.750

=====

Entry from the Alexandria database: an optimized crystal structure of SrYMg2Ni (PBE).

Output
ΔH_f (0 K) in eV per formula unit: -0.48
Space-group type: P4/mmm

abc: 5.193 5.193 5.064
angles: 90.00 90.00 90.00
Atoms (fractional coordinates):
1 Y 0.000 0.000 0.500
2 Sr 0.500 0.500 0.500
3 Mg 0.000 0.500 0.000
4 Mg 0.500 0.000 0.000
5 Ni 0.000 0.000 0.000

=====

Entry from the Alexandria database: an optimized crystal structure of P3H5Pd12 (PBE).

Output
Total energy in eV per atom: -5.05
Space-group type: Ia-3d

abc: 10.824 10.824 10.824
angles: 109.47 109.47 109.47
Atoms (fractional coordinates):
1 P 0.750 0.375 0.125
2 P 0.875 0.750 0.125
3 P 0.375 0.750 0.625
4 P 0.250 0.125 0.375
5 P 0.875 0.125 0.250
6 P 0.375 0.625 0.250
7 P 0.625 0.375 0.750
8 P 0.125 0.875 0.750
9 P 0.750 0.875 0.625
10 P 0.625 0.250 0.375
11 P 0.125 0.250 0.875
12 P 0.250 0.625 0.875
13 H 0.125 0.375 0.250
14 H 0.000 0.500 0.000
15 H 0.000 0.000 0.000
16 H 0.375 0.250 0.125
17 H 0.500 0.000 0.500
18 H 0.500 0.500 0.000
19 H 0.125 0.750 0.375
20 H 0.750 0.125 0.875
21 H 0.750 0.625 0.375
22 H 0.375 0.125 0.750
23 H 0.625 0.875 0.250
24 H 0.500 0.500 0.500
25 H 0.500 0.000 0.000
26 H 0.000 0.000 0.500
27 H 0.250 0.375 0.625
28 H 0.250 0.875 0.125
29 H 0.000 0.500 0.500
30 H 0.875 0.250 0.625
31 H 0.625 0.750 0.875
32 H 0.875 0.625 0.750
33 Pd 0.708 0.117 0.025
34 Pd 0.317 0.525 0.408
35 Pd 0.975 0.383 0.292
36 Pd 0.525 0.208 0.117
37 Pd 0.590 0.708 0.683
38 Pd 0.975 0.592 0.183
39 Pd 0.317 0.792 0.410
40 Pd 0.092 0.910 0.117
41 Pd 0.592 0.975 0.683
42 Pd 0.708 0.590 0.183
43 Pd 0.792 0.475 0.383
44 Pd 0.817 0.908 0.025
45 Pd 0.117 0.708 0.525
46 Pd 0.383 0.408 0.090
47 Pd 0.090 0.908 0.383
48 Pd 0.410 0.117 0.592
49 Pd 0.090 0.183 0.208
50 Pd 0.475 0.683 0.092
51 Pd 0.817 0.910 0.292
52 Pd 0.117 0.410 0.092
53 Pd 0.383 0.975 0.792
54 Pd 0.592 0.617 0.410
55 Pd 0.908 0.817 0.525
56 Pd 0.792 0.317 0.910
57 Pd 0.408 0.383 0.590
58 Pd 0.092 0.183 0.475
59 Pd 0.208 0.683 0.090
60 Pd 0.183 0.090 0.708
61 Pd 0.617 0.025 0.208
62 Pd 0.883 0.590 0.908
63 Pd 0.525 0.317 0.908
64 Pd 0.590 0.883 0.408
65 Pd 0.910 0.817 0.792
66 Pd 0.910 0.092 0.617
67 Pd 0.883 0.292 0.475
68 Pd 0.183 0.092 0.975
69 Pd 0.617 0.592 0.910
70 Pd 0.408 0.025 0.317
71 Pd 0.292 0.410 0.817
72 Pd 0.208 0.525 0.617
73 Pd 0.908 0.090 0.883
74 Pd 0.683 0.208 0.590
75 Pd 0.475 0.792 0.883
76 Pd 0.025 0.408 0.817
77 Pd 0.410 0.292 0.317
78 Pd 0.025 0.617 0.708
79 Pd 0.683 0.475 0.592
80 Pd 0.292 0.883 0.975

=====

Entry from the Alexandria database: an optimized crystal structure of LiMgSc2 (PBE).

Output
ΔH_f (0 K) in eV per formula unit: 1.47
Space-group type: I-42d

abc: 7.912 7.912 6.292
angles: 51.04 51.04 90.00
Atoms (fractional coordinates):
1 Sc 0.604 0.125 0.250
2 Sc 0.146 0.625 0.250
3 Sc 0.375 0.396 0.750
4 Sc 0.875 0.854 0.750
5 Mg 0.000 0.000 0.000
6 Mg 0.750 0.250 0.500
7 Li 0.500 0.500 0.000
8 Li 0.250 0.750 0.500

=====

Entry from the Alexandria database: an optimized crystal structure of K4SrOs3O12 (PBE).

Output
E_form (uncorrected) in meV/atom: -1367
Space-group type: Im-3m

abc: 7.121 7.121 7.121
angles: 109.47 109.47 109.47
Atoms (fractional coordinates):
1 K 0.500 0.500 0.500
2 K 0.000 0.000 0.500
3 K 0.500 0.000 0.000
4 K 0.000 0.500 0.000
5 Sr 0.000 0.000 0.000
6 Os 0.500 0.000 0.500
7 Os 0.500 0.500 0.000
8 Os 0.000 0.500 0.500
9 O 0.250 0.500 0.750
10 O 0.721 0.000 0.721
11 O 0.279 0.000 0.279
12 O 0.750 0.500 0.250
13 O 0.721 0.721 0.000
14 O 0.279 0.279 0.000
15 O 0.750 0.250 0.500
16 O 0.250 0.750 0.500
17 O 0.500 0.250 0.750
18 O 0.000 0.721 0.721
19 O 0.500 0.750 0.250
20 O 0.000 0.279 0.279

=====

Entry from the Alexandria database: an optimized crystal structure of Pm2ScTi (PBE).

Output
E above lowest polymorph in meV per atom: 0
ΔH_f (0 K) in eV per formula unit: 0.84
Space-group type: P4/mmm

abc: 3.629 3.629 8.234
angles: 90.00 90.00 90.00
Atoms (fractional coordinates):
1 Sc 0.500 0.500 0.500
2 Ti 0.500 0.500 0.000
3 Pm 0.000 0.000 0.769
4 Pm 0.000 0.000 0.231

=====

Entry from the Alexandria database: an optimized crystal structure of Tl3P5Se12 (PBE).

Output
E_form (uncorrected) in meV/atom: 33
Space-group type: Ia-3d

abc: 13.998 13.998 13.998
angles: 109.47 109.47 109.47
Atoms (fractional coordinates):
1 Tl 0.750 0.375 0.125
2 Tl 0.875 0.750 0.125
3 Tl 0.375 0.750 0.625
4 Tl 0.250 0.125 0.375
5 Tl 0.875 0.125 0.250
6 Tl 0.375 0.625 0.250
7 Tl 0.625 0.375 0.750
8 Tl 0.125 0.875 0.750
9 Tl 0.750 0.875 0.625
10 Tl 0.625 0.250 0.375
11 Tl 0.125 0.250 0.875
12 Tl 0.250 0.625 0.875
13 P 0.125 0.375 0.250
14 P 0.000 0.500 0.000
15 P 0.000 0.000 0.000
16 P 0.375 0.250 0.125
17 P 0.500 0.000 0.500
18 P 0.500 0.500 0.000
19 P 0.125 0.750 0.375
20 P 0.750 0.125 0.875
21 P 0.750 0.625 0.375
22 P 0.375 0.125 0.750
23 P 0.625 0.875 0.250
24 P 0.500 0.500 0.500
25 P 0.500 0.000 0.000
26 P 0.000 0.000 0.500
27 P 0.250 0.375 0.625
28 P 0.250 0.875 0.125
29 P 0.000 0.500 0.500
30 P 0.875 0.250 0.625
31 P 0.625 0.750 0.875
32 P 0.875 0.625 0.750
33 Se 0.702 0.109 0.012
34 Se 0.310 0.512 0.403
35 Se 0.988 0.391 0.298
36 Se 0.512 0.202 0.109
37 Se 0.592 0.702 0.690
38 Se 0.988 0.597 0.190
39 Se 0.310 0.798 0.408
40 Se 0.097 0.908 0.109
41 Se 0.597 0.988 0.690
42 Se 0.702 0.592 0.190
43 Se 0.798 0.488 0.391
44 Se 0.810 0.903 0.012
45 Se 0.109 0.702 0.512
46 Se 0.391 0.403 0.092
47 Se 0.092 0.903 0.391
48 Se 0.408 0.109 0.597
49 Se 0.092 0.190 0.202
50 Se 0.488 0.690 0.097
51 Se 0.810 0.908 0.298
52 Se 0.109 0.408 0.097
53 Se 0.391 0.988 0.798
54 Se 0.597 0.609 0.408
55 Se 0.903 0.810 0.512
56 Se 0.798 0.310 0.908
57 Se 0.403 0.391 0.592
58 Se 0.097 0.190 0.488
59 Se 0.202 0.690 0.092
60 Se 0.190 0.092 0.702
61 Se 0.609 0.012 0.202
62 Se 0.891 0.592 0.903
63 Se 0.512 0.310 0.903
64 Se 0.592 0.891 0.403
65 Se 0.908 0.810 0.798
66 Se 0.908 0.097 0.609
67 Se 0.891 0.298 0.488
68 Se 0.190 0.097 0.988
69 Se 0.609 0.597 0.908
70 Se 0.403 0.012 0.310
71 Se 0.298 0.408 0.810
72 Se 0.202 0.512 0.609
73 Se 0.903 0.092 0.891
74 Se 0.690 0.202 0.592
75 Se 0.488 0.798 0.891
76 Se 0.012 0.403 0.810
77 Se 0.408 0.298 0.310
78 Se 0.012 0.609 0.702
79 Se 0.690 0.488 0.597
80 Se 0.298 0.891 0.988